Material: BaCrCuTe3
Method: DFT, GGA-PBE
State: relaxed

Summary:
Energy, eV/atom: -4.846
Volume, Å³/atom: 28.9
Uncorrected formation energy, eV/atom: -0.67
Density of states at the Fermi level, states/eV per atom: 0.108
Total moment, μB per cell: 6.00

abc: 8.7073 4.2743 9.7045
angles: 90.00 105.93 90.00
Space group P2_1/m (No. 11)
Symmetry-distinct sites (fractional):
Ba (0.1963, 0.2500, 0.2601) [2 per cell]
Cr (0.3321, 0.7500, 0.8500) [2 per cell]
Cu (0.0673, 0.2500, 0.5773) [2 per cell]
Te (0.1281, 0.2500, 0.8667) [2 per cell]
Te (0.2449, 0.7500, 0.5522) [2 per cell]
Te (0.4589, 0.7500, 0.1422) [2 per cell]